# 1
Compound: CsZrFeS3
Source: OQMD via LeMat-Bulk
Functional: GGA-PBE
Structure: optimized geometry

```
CsZrFeS3
1.0
9.1801 0.0000 0.0000
0.0000 3.7426 0.0000
-4.2711 0.0000 8.7257
Cs Zr Fe S
2 2 2 6
Direct
0.2282 0.2500 0.2540
0.7718 0.7500 0.7460
0.3189 0.7500 0.8397
0.6811 0.2500 0.1603
0.0700 0.2500 0.6000
0.9300 0.7500 0.4000
0.1310 0.2500 0.8554
0.2057 0.7500 0.5479
0.4737 0.7500 0.1431
0.5263 0.2500 0.8569
0.7943 0.2500 0.4521
0.8690 0.7500 0.1446
```

Properties
As for the total magnetic moment: 3.0 μB per formula unit. Its space group is P2_1/m. For the total energy, the calculation gives -6.228 eV/atom.

# 2
Compound: CsScFe
Source: OQMD via LeMat-Bulk
Functional: GGA-PBE
Structure: optimized geometry

```
CsScFe
1.0
6.5852 0.0000 0.0000
0.0000 6.5852 0.0000
0.0000 0.0000 6.5852
Cs Sc Fe
4 4 4
Direct
0.0000 0.0000 0.0000
0.0000 0.5000 0.5000
0.5000 0.0000 0.5000
0.5000 0.5000 0.0000
0.2500 0.2500 0.2500
0.2500 0.7500 0.7500
0.7500 0.2500 0.7500
0.7500 0.7500 0.2500
0.2500 0.2500 0.7500
0.2500 0.7500 0.2500
0.7500 0.2500 0.2500
0.7500 0.7500 0.7500
```

Properties
As for the total magnetic moment: 2.0 μB per formula unit. Its space group is F-43m. For the total energy, the calculation gives -3.241 eV/atom.

# 3
Compound: CsScFeSe3
Source: OQMD via LeMat-Bulk
Functional: GGA-PBE
Structure: optimized geometry

```
CsScFeSe3
1.0
16.5480 0.0000 0.0000
0.0000 3.9632 0.0000
0.0000 0.0000 10.6107
Cs Sc Fe Se
4 4 4 12
Direct
0.2387 0.2500 0.0328
0.2613 0.7500 0.5328
0.7387 0.2500 0.4672
0.7613 0.7500 0.9672
0.0149 0.2500 0.3488
0.4851 0.7500 0.8488
0.5149 0.2500 0.1512
0.9851 0.7500 0.6512
0.0101 0.7500 0.0841
0.4899 0.2500 0.5841
0.5101 0.7500 0.4159
0.9899 0.2500 0.9159
0.0775 0.7500 0.8771
0.0852 0.2500 0.5733
0.1115 0.7500 0.2490
0.3885 0.2500 0.7490
0.4148 0.7500 0.0733
0.4225 0.2500 0.3771
0.5775 0.7500 0.6229
0.5852 0.2500 0.9267
0.6115 0.7500 0.2510
0.8885 0.2500 0.7510
0.9148 0.7500 0.4267
0.9225 0.2500 0.1229
```

Properties
As for the total magnetic moment: 3.8 μB per formula unit. Its space group is Pnma. For the total energy, the calculation gives -5.481 eV/atom.

# 4
Compound: CsFe3Se5
Source: OQMD via LeMat-Bulk
Functional: GGA-PBE
Structure: optimized geometry

```
CsFe3Se5
1.0
5.7130 0.0000 0.0000
-2.8565 4.9476 0.0000
0.0000 0.0000 7.5727
Cs Fe Se
1 3 5
Direct
0.0000 0.0000 0.0000
0.0000 0.5000 0.5000
0.5000 0.0000 0.5000
0.5000 0.5000 0.5000
0.0000 0.0000 0.5000
0.3333 0.6667 0.2729
0.3333 0.6667 0.7271
0.6667 0.3333 0.2729
0.6667 0.3333 0.7271
```

Properties
As for the total magnetic moment: 7.0 μB per formula unit. Its space group is P6/mmm. For the total energy, the calculation gives -5.181 eV/atom.

# 5
Compound: CsFeSe2
Source: OQMD via LeMat-Bulk
Functional: GGA-PBE
Structure: optimized geometry

```
CsFeSe2
1.0
5.6350 0.0000 0.0000
0.0000 7.2990 0.0000
0.0000 0.0000 12.3538
Cs Fe Se
4 4 8
Direct
0.0000 0.0000 0.1724
0.0000 0.0000 0.8276
0.5000 0.5000 0.3276
0.5000 0.5000 0.6724
0.2482 0.0000 0.5000
0.2518 0.5000 0.0000
0.7482 0.5000 0.0000
0.7518 0.0000 0.5000
0.0000 0.2557 0.5000
0.0000 0.5000 0.1501
0.0000 0.5000 0.8499
0.0000 0.7443 0.5000
0.5000 0.0000 0.3499
0.5000 0.0000 0.6501
0.5000 0.2443 0.0000
0.5000 0.7557 0.0000
```

Properties
As for the total magnetic moment: 3.0 μB per formula unit. Its space group is Immm. For the total energy, the calculation gives -4.728 eV/atom.

# 6
Compound: CsTbFeSe3
Source: OQMD via LeMat-Bulk
Functional: GGA-PBE
Structure: optimized geometry

```
CsTbFeSe3
1.0
10.8786 0.0000 0.0000
0.0000 4.1747 0.0000
0.0000 0.0000 15.9632
Cs Tb Fe Se
4 4 4 12
Direct
0.2492 0.2500 0.0087
0.2508 0.7500 0.5087
0.7492 0.2500 0.4913
0.7508 0.7500 0.9913
0.0015 0.2500 0.7493
0.4985 0.7500 0.2493
0.5015 0.2500 0.7507
0.9985 0.7500 0.2507
0.2486 0.2500 0.2827
0.2514 0.7500 0.7827
0.7486 0.2500 0.2173
0.7514 0.7500 0.7173
0.0637 0.2500 0.3678
0.0654 0.7500 0.8667
0.2482 0.7500 0.1946
0.2518 0.2500 0.6946
0.4346 0.2500 0.3667
0.4363 0.7500 0.8678
0.5637 0.2500 0.1322
0.5654 0.7500 0.6333
0.7482 0.7500 0.3054
0.7518 0.2500 0.8054
0.9346 0.2500 0.1333
0.9363 0.7500 0.6322
```

Properties
As for the total magnetic moment: 4.0 μB per formula unit. Its space group is Pnma. Its excess energy over the best structure of this formula in the dataset is 8 meV per atom.

no.,ρ (Mg/m³)
1,4.17
2,5.44
3,4.49
4,5.39
5,4.53
6,5.36